1.
Density functional theory data (PBE-GGA) for a relaxed structure of BaCr3Ge.

The density is 4.5 g/cm3. The value obtained for the energy relative to the elements is 2379 meV per atom.

The structure belongs to space group Pm-3m (No. 221); the cell edges are 5.138, 5.138 and 5.138 Å and the angles 90.00°, 90.00° and 90.00°. The inequivalent atoms are Ba at (0.000, 0.000, 0.000), Cr at (0.000, 0.000, 0.500) and Ge at (0.500, 0.500, 0.500).

2.
Density functional theory data (PBE-GGA) for a relaxed structure of BaCr3Ge.

The density is 4.7 g/cm3. The value obtained for the energy relative to the elements is 789 meV per atom.

The structure belongs to space group Pm-3m (No. 221); the cell edges are 5.043, 5.043 and 5.043 Å and the angles 90.00°, 90.00° and 90.00°. The inequivalent atoms are Ba at (0.000, 0.000, 0.000), Cr at (0.000, 0.500, 0.500) and Ge at (0.500, 0.500, 0.500).

3.
Density functional theory data (PBE-GGA) for a relaxed structure of BaCr2Ge.

The density is 5.0 g/cm3. The value obtained for the energy relative to the elements is 604 meV per atom.

The structure belongs to space group I4_1/amd (No. 141, origin choice 2); the cell edges are 4.865, 4.865 and 17.621 Å and the angles 90.00°, 90.00° and 90.00°. The inequivalent atoms are Ba at (0.000, 0.250, 0.375), Cr at (0.000, 0.000, 0.000) and Ge at (0.000, 0.250, 0.875).